# 1
A geometry-optimized NdDy2MgPd4 structure, computed with PBE-GGA.

```
NdDy2MgPd4
1.0
4.883 0.000 0.000
2.441 4.229 0.000
2.441 1.410 8.139
Dy Pd Nd Mg
2 4 1 1
direct
0.244 0.244 0.269
0.756 0.756 0.731
0.616 0.616 0.151
0.874 0.874 0.377
0.126 0.126 0.623
0.384 0.384 0.849
0.000 0.000 0.000
0.500 0.500 0.500
```

Calculated values
E_form, eV/atom: -0.795
Crystal system: trigonal
Symmetry: No. 166
Calculated total energy, eV per atom: -5.3371

# 2
A geometry-optimized YAgOs2O8 structure, computed with PBE-GGA.

```
YAgOs2O8
1.0
-1.835 3.290 -4.717
3.795 -4.620 -0.836
-5.236 -4.146 -0.856
O Y Ag Os
8 1 1 2
direct
0.667 0.333 0.940
0.168 0.832 0.710
0.168 0.337 0.710
0.337 0.168 0.290
0.832 0.663 0.290
0.333 0.667 0.060
0.832 0.168 0.290
0.663 0.832 0.710
0.000 0.000 0.500
0.000 0.000 0.000
0.667 0.333 0.201
0.333 0.667 0.799
```

Calculated values
Crystal system: trigonal
Symmetry: No. 164
Uncorrected formation energy, eV/atom: -1.216
Calculated total energy, eV per atom: -7.1690

- Which of these has the lowest calculated total energy?
  YAgOs2O8

- Which of these has the lowest calculated total energy?
  YAgOs2O8

- What is the calculated total energy in the second record?
  -7.1690 eV per atom